Density functional theory data (PBE) for an optimized crystal structure of Ca7Sn5Pb.

It has space group Imm2 (No. 44), with a = 6.557 Å, b = 11.489 Å, c = 10.950 Å, α = 90.00°, β = 90.00° and γ = 90.00°. The distinct sites, in fractional coordinates, are Ca at (0.000, 0.000, 0.000), Ca at (0.000, 0.000, 0.390), Ca at (0.000, 0.314, 0.603), Ca at (0.000, 0.333, 0.079), Ca at (0.000, 0.500, 0.340), Sn at (0.000, 0.500, 0.830), Sn at (0.248, 0.238, 0.845) and Pb at (0.000, 0.000, 0.702).

Its total energy is -3.3396 eV/atom. The energy relative to the elements is -437 meV/atom. For the volume, the calculation gives 412.5 Å³/f.u.